Computed, not measured: a relaxed ZrBeTe2 crystal at the PBE level of DFT.

Structure (CIF):
```
data_ZrBeTe2
_cell_length_a 3.7150
_cell_length_b 3.5909
_cell_length_c 6.7581
_cell_angle_alpha 90.00
_cell_angle_beta 104.63
_cell_angle_gamma 90.00
_symmetry_space_group_name_H-M 'P 1 2/m 1'
_symmetry_Int_Tables_number 10
loop_
_symmetry_equiv_pos_as_xyz
'x,y,z'
'-x,-y,-z'
'-x,y,-z'
'x,-y,z'
loop_
_atom_site_label
_atom_site_type_symbol
_atom_site_fract_x
_atom_site_fract_y
_atom_site_fract_z
Zr1 Zr 0.0000 0.0000 0.0000
Be1 Be 0.0000 0.0000 0.5000
Te1 Te 0.3650 0.5000 0.7428
```

Values from the calculation:
* density of states at the Fermi level: 2.21 states/eV per cell
* energy relative to the elements, uncorrected: -254.2 meV/atom
* size of the total moment: 0.000 Bohr magnetons per cell
* total energy: -19.57 eV per cell